# 1
A plane-wave DFT calculation with PBE+U was carried out for a relaxed CrRhNO2 crystal.

Results
Final energy   -6.2815 eV/atom

```
data_CrRhNO2
_space_group_name_H-M_alt 'P 4/m m m'
_space_group_IT_number 123
_space_group_name_Hall '-P 4 2'
_cell_length_a 3.7235
_cell_length_b 3.7235
_cell_length_c 3.8151
_cell_angle_alpha 90.00
_cell_angle_beta 90.00
_cell_angle_gamma 90.00
loop_
_atom_site_label
_atom_site_fract_x
_atom_site_fract_y
_atom_site_fract_z
Cr1 0.0000 0.0000 0.0000
Rh1 0.5000 0.5000 0.5000
N1 0.0000 0.0000 0.5000
O1 0.0000 0.5000 0.0000
```

---

# 2
A plane-wave DFT calculation with PBE+U was carried out for a relaxed CrRuNO2 crystal.

Results
Final energy   -6.6321 eV/atom

```
data_CrRuNO2
_space_group_name_H-M_alt 'P 4/m m m'
_space_group_IT_number 123
_space_group_name_Hall '-P 4 2'
_cell_length_a 3.9810
_cell_length_b 3.9810
_cell_length_c 3.7071
_cell_angle_alpha 90.00
_cell_angle_beta 90.00
_cell_angle_gamma 90.00
loop_
_atom_site_label
_atom_site_fract_x
_atom_site_fract_y
_atom_site_fract_z
Cr1 0.0000 0.0000 0.0000
Ru1 0.5000 0.5000 0.5000
N1 0.5000 0.5000 0.0000
O1 0.0000 0.5000 0.5000
```

---

# 3
A plane-wave DFT calculation with PBE+U was carried out for a relaxed CrS2NO crystal.

Results
E above lowest polymorph   0 meV per atom

```
data_CrS2NO
_space_group_name_H-M_alt 'P 4/m m m'
_space_group_IT_number 123
_space_group_name_Hall '-P 4 2'
_cell_length_a 4.1984
_cell_length_b 4.1984
_cell_length_c 3.8210
_cell_angle_alpha 90.00
_cell_angle_beta 90.00
_cell_angle_gamma 90.00
loop_
_atom_site_label
_atom_site_fract_x
_atom_site_fract_y
_atom_site_fract_z
Cr1 0.0000 0.0000 0.0000
S1 0.0000 0.5000 0.5000
N1 0.5000 0.5000 0.0000
O1 0.5000 0.5000 0.5000
```

---

# 4
A plane-wave DFT calculation with PBE+U was carried out for a relaxed CrS2NO crystal.

Results
E above lowest polymorph   60 meV per atom

```
data_CrS2NO
_space_group_name_H-M_alt 'P 4/m m m'
_space_group_IT_number 123
_space_group_name_Hall '-P 4 2'
_cell_length_a 4.4740
_cell_length_b 4.4740
_cell_length_c 3.5205
_cell_angle_alpha 90.00
_cell_angle_beta 90.00
_cell_angle_gamma 90.00
loop_
_atom_site_label
_atom_site_fract_x
_atom_site_fract_y
_atom_site_fract_z
Cr1 0.0000 0.0000 0.0000
S1 0.0000 0.5000 0.0000
N1 0.0000 0.0000 0.5000
O1 0.5000 0.5000 0.5000
```

---

# 5
A plane-wave DFT calculation with PBE+U was carried out for a relaxed ScCrN2O crystal.

Results
Final energy   -6.4988 eV/atom

```
data_ScCrN2O
_space_group_name_H-M_alt 'P 4/m m m'
_space_group_IT_number 123
_space_group_name_Hall '-P 4 2'
_cell_length_a 4.1747
_cell_length_b 4.1747
_cell_length_c 3.9208
_cell_angle_alpha 90.00
_cell_angle_beta 90.00
_cell_angle_gamma 90.00
loop_
_atom_site_label
_atom_site_fract_x
_atom_site_fract_y
_atom_site_fract_z
Sc1 0.0000 0.0000 0.0000
Cr1 0.5000 0.5000 0.5000
N1 0.0000 0.5000 0.0000
O1 0.0000 0.0000 0.5000
```

---

# 6
A plane-wave DFT calculation with PBE+U was carried out for a relaxed ScCrN2O crystal.

Results
Final energy   -7.6545 eV/atom

```
data_ScCrN2O
_space_group_name_H-M_alt 'P 4/m m m'
_space_group_IT_number 123
_space_group_name_Hall '-P 4 2'
_cell_length_a 3.7086
_cell_length_b 3.7086
_cell_length_c 3.8706
_cell_angle_alpha 90.00
_cell_angle_beta 90.00
_cell_angle_gamma 90.00
loop_
_atom_site_label
_atom_site_fract_x
_atom_site_fract_y
_atom_site_fract_z
Sc1 0.0000 0.0000 0.0000
Cr1 0.5000 0.5000 0.5000
N1 0.0000 0.5000 0.5000
O1 0.5000 0.5000 0.0000
```

---

# 7
A plane-wave DFT calculation with PBE+U was carried out for a relaxed CrSeN2O crystal.

Results
Final energy   -5.4833 eV/atom

```
data_CrSeN2O
_space_group_name_H-M_alt 'P 4/m m m'
_space_group_IT_number 123
_space_group_name_Hall '-P 4 2'
_cell_length_a 3.8965
_cell_length_b 3.8965
_cell_length_c 3.7623
_cell_angle_alpha 90.00
_cell_angle_beta 90.00
_cell_angle_gamma 90.00
loop_
_atom_site_label
_atom_site_fract_x
_atom_site_fract_y
_atom_site_fract_z
Cr1 0.0000 0.0000 0.0000
Se1 0.5000 0.5000 0.5000
N1 0.0000 0.5000 0.5000
O1 0.5000 0.5000 0.0000
```

---

# 8
A plane-wave DFT calculation with PBE+U was carried out for a relaxed CrSe2NO crystal.

Results
E above lowest polymorph   0 meV per atom

```
data_CrSe2NO
_space_group_name_H-M_alt 'P 4/m m m'
_space_group_IT_number 123
_space_group_name_Hall '-P 4 2'
_cell_length_a 4.9622
_cell_length_b 4.9622
_cell_length_c 3.5850
_cell_angle_alpha 90.00
_cell_angle_beta 90.00
_cell_angle_gamma 90.00
loop_
_atom_site_label
_atom_site_fract_x
_atom_site_fract_y
_atom_site_fract_z
Cr1 0.0000 0.0000 0.0000
Se1 0.0000 0.5000 0.0000
N1 0.0000 0.0000 0.5000
O1 0.5000 0.5000 0.5000
```

---

# 9
A plane-wave DFT calculation with PBE+U was carried out for a relaxed CrSeN2O crystal.

Results
Final energy   -5.4974 eV/atom

```
data_CrSeN2O
_space_group_name_H-M_alt 'P 4/m m m'
_space_group_IT_number 123
_space_group_name_Hall '-P 4 2'
_cell_length_a 3.9417
_cell_length_b 3.9417
_cell_length_c 3.5196
_cell_angle_alpha 90.00
_cell_angle_beta 90.00
_cell_angle_gamma 90.00
loop_
_atom_site_label
_atom_site_fract_x
_atom_site_fract_y
_atom_site_fract_z
Cr1 0.0000 0.0000 0.0000
Se1 0.5000 0.5000 0.5000
N1 0.0000 0.5000 0.0000
O1 0.0000 0.0000 0.5000
```

---

# 10
A plane-wave DFT calculation with PBE+U was carried out for a relaxed CrSeNO2 crystal.

Results
Final energy   -5.4828 eV/atom

```
data_CrSeNO2
_space_group_name_H-M_alt 'P 4/m m m'
_space_group_IT_number 123
_space_group_name_Hall '-P 4 2'
_cell_length_a 3.6887
_cell_length_b 3.6887
_cell_length_c 4.0391
_cell_angle_alpha 90.00
_cell_angle_beta 90.00
_cell_angle_gamma 90.00
loop_
_atom_site_label
_atom_site_fract_x
_atom_site_fract_y
_atom_site_fract_z
Cr1 0.0000 0.0000 0.0000
Se1 0.5000 0.5000 0.5000
N1 0.0000 0.0000 0.5000
O1 0.0000 0.5000 0.0000
```

---

# 11
A plane-wave DFT calculation with PBE+U was carried out for a relaxed CrSe2NO crystal.

Results
E above lowest polymorph   49 meV per atom

```
data_CrSe2NO
_space_group_name_H-M_alt 'P 4/m m m'
_space_group_IT_number 123
_space_group_name_Hall '-P 4 2'
_cell_length_a 4.4545
_cell_length_b 4.4545
_cell_length_c 3.8716
_cell_angle_alpha 90.00
_cell_angle_beta 90.00
_cell_angle_gamma 90.00
loop_
_atom_site_label
_atom_site_fract_x
_atom_site_fract_y
_atom_site_fract_z
Cr1 0.0000 0.0000 0.0000
Se1 0.0000 0.5000 0.5000
N1 0.5000 0.5000 0.0000
O1 0.5000 0.5000 0.5000
```

---

# 12
A plane-wave DFT calculation with PBE+U was carried out for a relaxed CrSeN2O crystal.

Results
Final energy   -5.4261 eV/atom

```
data_CrSeN2O
_space_group_name_H-M_alt 'P 4/m m m'
_space_group_IT_number 123
_space_group_name_Hall '-P 4 2'
_cell_length_a 3.5724
_cell_length_b 3.5724
_cell_length_c 5.4271
_cell_angle_alpha 90.00
_cell_angle_beta 90.00
_cell_angle_gamma 90.00
loop_
_atom_site_label
_atom_site_fract_x
_atom_site_fract_y
_atom_site_fract_z
Cr1 0.0000 0.0000 0.0000
Se1 0.0000 0.0000 0.5000
N1 0.0000 0.5000 0.0000
O1 0.5000 0.5000 0.5000
```

---

# 13
A plane-wave DFT calculation with PBE+U was carried out for a relaxed CrSeNO2 crystal.

Results
Final energy   -5.5412 eV/atom

```
data_CrSeNO2
_space_group_name_H-M_alt 'P 4/m m m'
_space_group_IT_number 123
_space_group_name_Hall '-P 4 2'
_cell_length_a 3.8014
_cell_length_b 3.8014
_cell_length_c 4.0114
_cell_angle_alpha 90.00
_cell_angle_beta 90.00
_cell_angle_gamma 90.00
loop_
_atom_site_label
_atom_site_fract_x
_atom_site_fract_y
_atom_site_fract_z
Cr1 0.0000 0.0000 0.0000
Se1 0.5000 0.5000 0.5000
N1 0.5000 0.5000 0.0000
O1 0.0000 0.5000 0.5000
```

---

# 14
A plane-wave DFT calculation with PBE+U was carried out for a relaxed CrSeN2O crystal.

Results
Final energy   -4.7903 eV/atom

```
data_CrSeN2O
_space_group_name_H-M_alt 'P 4/m m m'
_space_group_IT_number 123
_space_group_name_Hall '-P 4 2'
_cell_length_a 3.8885
_cell_length_b 3.8885
_cell_length_c 3.9820
_cell_angle_alpha 90.00
_cell_angle_beta 90.00
_cell_angle_gamma 90.00
loop_
_atom_site_label
_atom_site_fract_x
_atom_site_fract_y
_atom_site_fract_z
Cr1 0.0000 0.0000 0.0000
Se1 0.5000 0.5000 0.0000
N1 0.0000 0.5000 0.5000
O1 0.5000 0.5000 0.5000
```

---

# 15
A plane-wave DFT calculation with PBE+U was carried out for a relaxed CrSiNO2 crystal.

Results
Final energy   -7.2801 eV/atom

```
data_CrSiNO2
_space_group_name_H-M_alt 'P 4/m m m'
_space_group_IT_number 123
_space_group_name_Hall '-P 4 2'
_cell_length_a 3.4700
_cell_length_b 3.4700
_cell_length_c 3.7982
_cell_angle_alpha 90.00
_cell_angle_beta 90.00
_cell_angle_gamma 90.00
loop_
_atom_site_label
_atom_site_fract_x
_atom_site_fract_y
_atom_site_fract_z
Cr1 0.0000 0.0000 0.0000
Si1 0.5000 0.5000 0.5000
N1 0.5000 0.5000 0.0000
O1 0.0000 0.5000 0.5000
```

---

# 16
A plane-wave DFT calculation with PBE+U was carried out for a relaxed CrSiNO2 crystal.

Results
Final energy   -6.3115 eV/atom

```
data_CrSiNO2
_space_group_name_H-M_alt 'P 4/m m m'
_space_group_IT_number 123
_space_group_name_Hall '-P 4 2'
_cell_length_a 3.8516
_cell_length_b 3.8516
_cell_length_c 3.7272
_cell_angle_alpha 90.00
_cell_angle_beta 90.00
_cell_angle_gamma 90.00
loop_
_atom_site_label
_atom_site_fract_x
_atom_site_fract_y
_atom_site_fract_z
Cr1 0.0000 0.0000 0.0000
Si1 0.5000 0.5000 0.5000
N1 0.0000 0.0000 0.5000
O1 0.0000 0.5000 0.0000
```

---

# 17
A plane-wave DFT calculation with PBE+U was carried out for a relaxed CrSnNO2 crystal.

Results
Final energy   -6.0837 eV/atom

```
data_CrSnNO2
_space_group_name_H-M_alt 'P 4/m m m'
_space_group_IT_number 123
_space_group_name_Hall '-P 4 2'
_cell_length_a 4.0283
_cell_length_b 4.0283
_cell_length_c 4.2103
_cell_angle_alpha 90.00
_cell_angle_beta 90.00
_cell_angle_gamma 90.00
loop_
_atom_site_label
_atom_site_fract_x
_atom_site_fract_y
_atom_site_fract_z
Cr1 0.0000 0.0000 0.0000
Sn1 0.5000 0.5000 0.5000
N1 0.5000 0.5000 0.0000
O1 0.0000 0.5000 0.5000
```

---

# 18
A plane-wave DFT calculation with PBE+U was carried out for a relaxed CrSnNO2 crystal.

Results
Final energy   -6.4472 eV/atom

```
data_CrSnNO2
_space_group_name_H-M_alt 'P 4/m m m'
_space_group_IT_number 123
_space_group_name_Hall '-P 4 2'
_cell_length_a 3.9593
_cell_length_b 3.9593
_cell_length_c 3.7895
_cell_angle_alpha 90.00
_cell_angle_beta 90.00
_cell_angle_gamma 90.00
loop_
_atom_site_label
_atom_site_fract_x
_atom_site_fract_y
_atom_site_fract_z
Cr1 0.0000 0.0000 0.0000
Sn1 0.5000 0.5000 0.5000
N1 0.0000 0.0000 0.5000
O1 0.0000 0.5000 0.0000
```

---

# 19
A plane-wave DFT calculation with PBE+U was carried out for a relaxed CrTcN2O crystal.

Results
Final energy   -7.7367 eV/atom

```
data_CrTcN2O
_space_group_name_H-M_alt 'P 4/m m m'
_space_group_IT_number 123
_space_group_name_Hall '-P 4 2'
_cell_length_a 3.9026
_cell_length_b 3.9026
_cell_length_c 3.8573
_cell_angle_alpha 90.00
_cell_angle_beta 90.00
_cell_angle_gamma 90.00
loop_
_atom_site_label
_atom_site_fract_x
_atom_site_fract_y
_atom_site_fract_z
Cr1 0.0000 0.0000 0.0000
Tc1 0.5000 0.5000 0.5000
N1 0.0000 0.5000 0.5000
O1 0.5000 0.5000 0.0000
```

---

# 20
A plane-wave DFT calculation with PBE+U was carried out for a relaxed CrTcN2O crystal.

Results
Final energy   -7.1749 eV/atom

```
data_CrTcN2O
_space_group_name_H-M_alt 'P 4/m m m'
_space_group_IT_number 123
_space_group_name_Hall '-P 4 2'
_cell_length_a 3.7789
_cell_length_b 3.7789
_cell_length_c 3.8102
_cell_angle_alpha 90.00
_cell_angle_beta 90.00
_cell_angle_gamma 90.00
loop_
_atom_site_label
_atom_site_fract_x
_atom_site_fract_y
_atom_site_fract_z
Cr1 0.0000 0.0000 0.0000
Tc1 0.5000 0.5000 0.5000
N1 0.0000 0.5000 0.0000
O1 0.0000 0.0000 0.5000
```

---

Computed total moment, in the same sequence as the records: 0.359, 0.332, 0.412, 0.067, 0.589, 0.241, 0.568, 0.208, 0.000, 0.119, 0.403, 0.050, 0.735, 0.388, 0.610, 0.201, 0.599, 0.232, 0.824, 0.949 μB/atom.